(a)
Entry from the Open Quantum Materials Database: a relaxed NdBPO crystal (PBE).

Cell: 3.311 6.950 5.842 Å, 90.00 90.00 90.00°
Fractional coordinates of all 8 atoms:
B: 0.000 0.675 0.416
B: 0.000 0.325 0.916
Nd: 0.500 0.245 0.479
Nd: 0.500 0.755 0.979
O: 0.000 0.479 0.389
O: 0.000 0.521 0.889
P: 0.500 0.823 0.470
P: 0.500 0.177 0.970

## Properties
magnetization = 0.2 μB per formula unit
SG = Pmc2_1, No. 26

=====

(b)
Entry from the Open Quantum Materials Database: a relaxed NdBPO crystal (PBE).

Cell: 3.921 5.412 6.012 Å, 90.00 90.00 90.00°
Fractional coordinates of all 8 atoms:
B: 0.000 0.671 0.444
B: 0.000 0.329 0.944
Nd: 0.500 0.779 0.092
Nd: 0.500 0.221 0.592
O: 0.500 0.827 0.456
O: 0.500 0.173 0.956
P: 0.000 0.375 0.263
P: 0.000 0.625 0.763

## Properties
magnetization = 0.0 μB per formula unit
SG = Pmc2_1, No. 26

=====

It turns out (a) is the most stable, with the second structure 0.447 eV/atom higher.